Record 1
{"formula": "Sr2Li3Cd12In", "functional": "GGA-PBE", "state": "optimized geometry", "delta_e_f_ev_per_atom": -0.095, "sg": "R-3m (166)", "dft_energy_ev_per_atom": -1.36, "cell": [[-3.329, -6.276, -3.052], [3.325, 0.764, -6.939], [5.914, -4.735, 1.547]], "species": ["Sr", "Sr", "Li", "Li", "Li", "Cd", "Cd", "Cd", "Cd", "Cd", "Cd", "Cd", "Cd", "Cd", "Cd", "Cd", "Cd", "In"], "fractional_positions": [[0.737, 0.737, 0.737], [0.263, 0.263, 0.263], [0.500, 0.000, 0.000], [0.000, 0.500, 0.000], [0.000, 0.000, 0.500], [0.424, 0.424, 0.856], [0.800, 0.800, 0.283], [0.283, 0.800, 0.800], [0.856, 0.424, 0.424], [0.800, 0.283, 0.800], [0.424, 0.856, 0.424], [0.576, 0.576, 0.144], [0.200, 0.200, 0.717], [0.717, 0.200, 0.200], [0.144, 0.576, 0.576], [0.200, 0.717, 0.200], [0.576, 0.144, 0.576], [0.000, 0.000, 0.000]]}

***

Record 2
{"formula": "Li2CdInTc", "functional": "GGA-PBE", "state": "optimized geometry", "delta_e_f_ev_per_atom": 0.690, "sg": "P4/mmm (123)", "dft_energy_ev_per_atom": -2.88, "cell": [[4.531, 0.000, 0.000], [0.000, 5.162, 0.000], [0.000, 0.000, 4.531]], "species": ["Cd", "Li", "Li", "Tc", "In"], "fractional_positions": [[0.000, 0.000, 0.000], [0.000, 0.000, 0.500], [0.500, 0.000, 0.000], [0.000, 0.500, 0.000], [0.500, 0.500, 0.500]]}

***

Record 3
{"formula": "Li2ThCd2In2", "functional": "GGA-PBE", "state": "optimized geometry", "delta_e_f_ev_per_atom": -0.221, "sg": "C2/m (12)", "dft_energy_ev_per_atom": -2.87, "cell": [[4.853, 0.000, 0.000], [-2.427, 4.186, -0.374], [0.000, -2.111, 8.055]], "species": ["Li", "Li", "Th", "Cd", "Cd", "In", "In"], "fractional_positions": [[0.144, 0.287, 0.429], [0.856, 0.713, 0.571], [0.000, 0.000, 0.000], [0.736, 0.473, 0.208], [0.264, 0.527, 0.792], [0.570, 0.140, 0.711], [0.430, 0.860, 0.289]]}

***

Record 4
{"formula": "LiTlCdIn", "functional": "GGA-PBE", "state": "optimized geometry", "relative_energy_mev_per_atom": 8, "delta_e_f_ev_per_atom": -0.087, "sg": "Cm (8)", "dft_energy_ev_per_atom": -2.07, "cell": [[-1.054, -2.027, -3.977], [3.845, -2.487, 0.248], [-3.573, -0.954, 4.078]], "species": ["Li", "Tl", "Cd", "In"], "fractional_positions": [[0.000, 0.000, 0.000], [0.750, 0.249, 0.500], [0.500, 0.501, 0.000], [0.250, 0.750, 0.500]]}